Entry 1:
## V2CuAu2 (PBE)

Data for a relaxed V2CuAu2 crystal.

Values from the calculation:
* E_tot: -5.500 eV per atom
* N(E_F): 6.3 states/eV per cell
* calculated formation energy: 134 kJ/mol of formula units
* SG: I4/mmm (139)
* V: 16.1 Å³/atom
* excess energy over the best structure of this formula in the dataset: 0.0 meV per atom
* M_tot: 0.0005 μB/atom

a b c (Å): 7.564 7.564 7.564
angles (deg): 154.44 154.44 36.46
Fractional positions:
V1 0.250 0.750 0.500
V2 0.750 0.250 0.500
Cu1 0.000 0.000 0.000
Au1 0.402 0.402 0.000
Au2 0.598 0.598 0.000

=====

Entry 2:
## Sr2SmZnO5 (PBE)

Data for a relaxed Sr2SmZnO5 crystal.

Values from the calculation:
* E_tot: -6.187 eV per atom
* N(E_F): 15.0 states/eV per cell
* SG: Cmc2_1 (36)
* V: 15.1 Å³/atom
* raw formation energy: -2392.7 meV per atom
* M_tot: 0.1134 μB/atom

a b c (Å): 7.461 7.461 10.656
angles (deg): 90.00 90.00 152.75
Fractional positions:
Sr1 0.114 0.886 0.500
Sr2 0.126 0.874 0.101
Sr3 0.874 0.126 0.601
Sr4 0.886 0.114 0.000
Sm1 0.208 0.792 0.807
Sm2 0.792 0.208 0.307
Zn1 0.495 0.505 0.284
Zn2 0.505 0.495 0.784
O1 0.045 0.955 0.852
O2 0.294 0.706 0.457
O3 0.302 0.698 0.164
O4 0.366 0.634 0.813
O5 0.498 0.502 0.098
O6 0.502 0.498 0.598
O7 0.634 0.366 0.313
O8 0.698 0.302 0.664
O9 0.706 0.294 0.957
O10 0.955 0.045 0.352

=====

Entry 3:
## NaSr2MgHg6 (PBE)

Data for a relaxed NaSr2MgHg6 crystal.

Values from the calculation:
* E_tot: -0.945 eV per atom
* N(E_F): 4.5 states/eV per cell
* calculated formation energy: -132 kJ/mol of formula units
* SG: Fm-3m (225)
* V: 31.6 Å³/atom
* M_tot: 0.0000 μB/atom

a b c (Å): 7.644 7.644 7.644
angles (deg): 60.00 60.00 60.00
Fractional positions:
Na1 0.000 0.000 0.000
Sr1 0.250 0.250 0.250
Sr2 0.750 0.750 0.750
Mg1 0.500 0.500 0.500
Hg1 0.252 0.252 0.748
Hg2 0.252 0.748 0.252
Hg3 0.252 0.748 0.748
Hg4 0.748 0.252 0.252
Hg5 0.748 0.252 0.748
Hg6 0.748 0.748 0.252

=====

Entry 4:
## Pm12YEr3 (PBE)

Data for a relaxed Pm12YEr3 crystal.

Values from the calculation:
* E_tot: -4.808 eV per atom
* N(E_F): 23.9 states/eV per cell
* calculated formation energy: 23 kJ/mol of formula units
* SG: P4/mmm (123)
* V: 33.5 Å³/atom
* M_tot: 0.0000 μB/atom

a b c (Å): 5.122 5.122 20.434
angles (deg): 90.00 90.00 90.00
Fractional positions:
Pm1 0.000 0.000 0.000
Pm2 0.000 0.000 0.249
Pm3 0.000 0.000 0.500
Pm4 0.000 0.000 0.751
Pm5 0.000 0.500 0.125
Pm6 0.000 0.500 0.374
Pm7 0.000 0.500 0.626
Pm8 0.000 0.500 0.875
Pm9 0.500 0.000 0.125
Pm10 0.500 0.000 0.374
Pm11 0.500 0.000 0.626
Pm12 0.500 0.000 0.875
Y1 0.500 0.500 0.500
Er1 0.500 0.500 0.000
Er2 0.500 0.500 0.249
Er3 0.500 0.500 0.751

=====

Entry 5:
## Dy4PtRh3 (PBE)

Data for a relaxed Dy4PtRh3 crystal.

Values from the calculation:
* E_tot: -6.779 eV per atom
* N(E_F): 4.4 states/eV per cell
* calculated formation energy: -745 kJ/mol of formula units
* SG: P4/mmm (123)
* V: 20.4 Å³/atom
* M_tot: 0.0000 μB/atom

a b c (Å): 4.844 4.844 6.952
angles (deg): 90.00 90.00 90.00
Fractional positions:
Dy1 0.000 0.500 0.249
Dy2 0.000 0.500 0.751
Dy3 0.500 0.000 0.249
Dy4 0.500 0.000 0.751
Pt1 0.000 0.000 0.500
Rh1 0.000 0.000 0.000
Rh2 0.500 0.500 0.000
Rh3 0.500 0.500 0.500

=====

Entry 6:
## LiHo2GaO (PBE)

Data for a relaxed LiHo2GaO crystal.

Values from the calculation:
* E_tot: -5.295 eV per atom
* N(E_F): 0.9 states/eV per cell
* SG: P4/mmm (123)
* V: 17.9 Å³/atom
* raw formation energy: -1484.2 meV per atom
* M_tot: 0.0000 μB/atom

a b c (Å): 4.718 4.718 4.023
angles (deg): 90.00 90.00 90.00
Fractional positions:
Li1 0.000 0.000 0.000
Ho1 0.000 0.500 0.500
Ho2 0.500 0.000 0.500
Ga1 0.500 0.500 0.000
O1 0.000 0.000 0.500

=====

Entry 7:
## PmSmMgZr (PBE)

Data for a relaxed PmSmMgZr crystal.

Values from the calculation:
* E_tot: -4.774 eV per atom
* N(E_F): 4.7 states/eV per cell
* calculated formation energy: 50 kJ/mol of formula units
* SG: F-43m (216)
* V: 28.2 Å³/atom
* M_tot: 0.4203 μB/atom

a b c (Å): 5.424 5.424 5.424
angles (deg): 60.00 60.00 60.00
Fractional positions:
Pm1 0.000 0.000 0.000
Sm1 0.500 0.500 0.500
Mg1 0.250 0.250 0.250
Zr1 0.750 0.750 0.750

=====

Entry 8:
## Ce3Pr4Tc2 (PBE)

Data for a relaxed Ce3Pr4Tc2 crystal.

Values from the calculation:
* E_tot: -6.429 eV per atom
* N(E_F): 14.8 states/eV per cell
* calculated formation energy: -20 kJ/mol of formula units
* SG: P-1 (2)
* V: 29.4 Å³/atom
* M_tot: 0.0000 μB/atom

a b c (Å): 3.792 8.915 8.924
angles (deg): 115.67 102.17 90.00
Fractional positions:
Ce1 0.000 0.000 0.000
Ce2 0.074 0.694 0.148
Ce3 0.926 0.306 0.852
Pr1 0.231 0.150 0.461
Pr2 0.378 0.621 0.754
Pr3 0.622 0.379 0.246
Pr4 0.769 0.850 0.539
Tc1 0.411 0.105 0.829
Tc2 0.589 0.895 0.171

=====

Entry 9:
## Ho4Ge8Rh (PBE)

Data for a relaxed Ho4Ge8Rh crystal.

Values from the calculation:
* E_tot: -5.464 eV per atom
* N(E_F): 5.0 states/eV per cell
* calculated formation energy: -814 kJ/mol of formula units
* SG: Pmm2 (25)
* V: 20.6 Å³/atom
* M_tot: 0.0000 μB/atom

a b c (Å): 4.014 4.116 16.178
angles (deg): 90.00 90.00 90.00
Fractional positions:
Ho1 0.000 0.000 0.000
Ho2 0.000 0.500 0.488
Ho3 0.500 0.000 0.789
Ho4 0.500 0.500 0.285
Ge1 0.000 0.000 0.331
Ge2 0.000 0.000 0.621
Ge3 0.000 0.500 0.140
Ge4 0.000 0.500 0.855
Ge5 0.500 0.000 0.145
Ge6 0.500 0.000 0.436
Ge7 0.500 0.500 0.620
Ge8 0.500 0.500 0.956
Rh1 0.000 0.500 0.706

=====

Entry 10:
## TaInSi (PBE)

Data for a relaxed TaInSi crystal.

Values from the calculation:
* E_tot: -6.590 eV per atom
* N(E_F): 1.9 states/eV per cell
* SG: I4mm (107)
* V: 19.2 Å³/atom
* raw formation energy: 81.5 meV per atom
* M_tot: 0.0000 μB/atom

a b c (Å): 5.512 5.512 5.512
angles (deg): 144.01 144.01 51.81
Fractional positions:
Ta1 0.000 0.000 0.000
In1 0.300 0.300 0.000
Si1 0.591 0.591 0.000

=====

Entry 11:
## KCuGe (PBE)

Data for a relaxed KCuGe crystal.

Values from the calculation:
* E_tot: -3.211 eV per atom
* N(E_F): 3.4 states/eV per cell
* calculated formation energy: 17 kJ/mol of formula units
* SG: C2/m (12)
* V: 25.0 Å³/atom
* excess energy over the best structure of this formula in the dataset: 66.2 meV per atom
* M_tot: 0.0000 μB/atom

a b c (Å): 6.338 6.338 7.571
angles (deg): 124.49 124.49 37.99
Fractional positions:
K1 0.083 0.083 0.374
K2 0.917 0.917 0.626
Cu1 0.384 0.384 0.965
Cu2 0.616 0.616 0.035
Ge1 0.261 0.261 0.135
Ge2 0.739 0.739 0.865

=====

Entry 12:
## Na5PSe4I2 (PBE)

Data for a relaxed Na5PSe4I2 crystal.

Values from the calculation:
* E_tot: -3.290 eV per atom
* N(E_F): 0.0 states/eV per cell
* SG: Amm2 (38)
* V: 31.4 Å³/atom
* raw formation energy: -869.4 meV per atom
* M_tot: 0.0000 μB/atom

a b c (Å): 9.026 6.738 6.738
angles (deg): 113.27 90.00 90.00
Fractional positions:
Na1 0.000 0.000 0.000
Na2 0.274 0.271 0.659
Na3 0.274 0.659 0.271
Na4 0.726 0.271 0.659
Na5 0.726 0.659 0.271
P1 0.500 0.984 0.984
Se1 0.300 0.162 0.162
Se2 0.500 0.641 0.958
Se3 0.500 0.958 0.641
Se4 0.700 0.162 0.162
I1 0.000 0.518 0.903
I2 0.000 0.903 0.518

=====

Entry 13:
## MgTa2Te (PBE)

Data for a relaxed MgTa2Te crystal.

Values from the calculation:
* E_tot: -6.771 eV per atom
* N(E_F): 3.1 states/eV per cell
* SG: P2/m (10)
* V: 20.1 Å³/atom
* raw formation energy: 338.9 meV per atom
* excess energy over the best structure of this formula in the dataset: 224.2 meV per atom
* M_tot: 0.0000 μB/atom

a b c (Å): 3.071 4.868 5.390
angles (deg): 90.00 92.73 90.00
Fractional positions:
Mg1 0.000 0.000 0.000
Ta1 0.328 0.500 0.768
Ta2 0.672 0.500 0.232
Te1 0.500 0.000 0.500

=====

Entry 14:
## YTa2 (PBE)

Data for a relaxed YTa2 crystal.

Values from the calculation:
* E_tot: -9.810 eV per atom
* N(E_F): 23.4 states/eV per cell
* calculated formation energy: 71 kJ/mol of formula units
* SG: P6_3/mmc (194)
* V: 22.1 Å³/atom
* excess energy over the best structure of this formula in the dataset: 0.1 meV per atom
* M_tot: 0.0000 μB/atom

a b c (Å): 5.771 5.771 9.207
angles (deg): 90.00 90.00 120.00
Fractional positions:
Y1 0.333 0.667 0.064
Y2 0.333 0.667 0.436
Y3 0.667 0.333 0.564
Y4 0.667 0.333 0.936
Ta1 0.000 0.000 0.000
Ta2 0.000 0.000 0.500
Ta3 0.168 0.337 0.750
Ta4 0.168 0.832 0.750
Ta5 0.337 0.168 0.250
Ta6 0.663 0.832 0.750
Ta7 0.832 0.168 0.250
Ta8 0.832 0.663 0.250

=====

Entry 15:
## CsBS2N (PBE)

Data for a relaxed CsBS2N crystal.

Values from the calculation:
* E_tot: -4.577 eV per atom
* N(E_F): 3.2 states/eV per cell
* SG: P4/mmm (123)
* V: 23.9 Å³/atom
* raw formation energy: 245.2 meV per atom
* M_tot: 0.2156 μB/atom

a b c (Å): 6.599 6.599 2.746
angles (deg): 90.00 90.00 90.00
Fractional positions:
Cs1 0.000 0.000 0.000
B1 0.500 0.500 0.500
S1 0.000 0.500 0.500
S2 0.500 0.000 0.500
N1 0.500 0.500 0.000

=====

Entry 16:
## AgS2Cl2O6 (PBE)

Data for a relaxed AgS2Cl2O6 crystal.

Values from the calculation:
* E_tot: -4.879 eV per atom
* N(E_F): 5.3 states/eV per cell
* SG: P-3 (147)
* V: 20.6 Å³/atom
* raw formation energy: -829.5 meV per atom
* M_tot: 0.0000 μB/atom

a b c (Å): 5.284 5.284 9.348
angles (deg): 90.00 90.00 120.00
Fractional positions:
Ag1 0.000 0.000 0.000
S1 0.333 0.667 0.819
S2 0.667 0.333 0.181
Cl1 0.333 0.667 0.600
Cl2 0.667 0.333 0.400
O1 0.068 0.672 0.859
O2 0.328 0.396 0.859
O3 0.396 0.068 0.141
O4 0.604 0.932 0.859
O5 0.672 0.604 0.141
O6 0.932 0.328 0.141

=====

Entry 17:
## SmAsH (PBE)

Data for a relaxed SmAsH crystal.

Values from the calculation:
* E_tot: -5.088 eV per atom
* N(E_F): 0.4 states/eV per cell
* SG: C2/m (12)
* V: 18.9 Å³/atom
* excess energy over the best structure of this formula in the dataset: 0.0 meV per atom
* M_tot: 0.0000 μB/atom

a b c (Å): 5.690 5.690 6.112
angles (deg): 119.62 119.62 42.43
Fractional positions:
Sm1 0.211 0.211 0.240
Sm2 0.789 0.789 0.760
As1 0.481 0.481 0.185
As2 0.519 0.519 0.815
H1 0.198 0.198 0.590
H2 0.802 0.802 0.410

=====

Entry 18:
## La3S2N (PBE)

Data for a relaxed La3S2N crystal.

Values from the calculation:
* E_tot: -7.081 eV per atom
* N(E_F): 3.0 states/eV per cell
* SG: Immm (71)
* V: 23.1 Å³/atom
* raw formation energy: -1854.2 meV per atom
* M_tot: 0.0000 μB/atom

a b c (Å): 7.070 7.070 7.070
angles (deg): 147.88 132.00 58.93
Fractional positions:
La1 0.000 0.000 0.000
La2 0.357 0.357 0.000
La3 0.643 0.643 0.000
S1 0.174 0.674 0.500
S2 0.826 0.326 0.500
N1 0.500 0.000 0.500

=====

Entry 19:
## K2HOF (PBE)

Data for a relaxed K2HOF crystal.

Values from the calculation:
* E_tot: -4.335 eV per atom
* N(E_F): 0.0 states/eV per cell
* SG: P2_1/m (11)
* V: 17.4 Å³/atom
* M_tot: 0.0151 μB/atom

a b c (Å): 5.722 3.932 7.808
angles (deg): 90.00 97.51 90.00
Fractional positions:
K1 0.223 0.250 0.397
K2 0.225 0.250 0.900
K3 0.775 0.750 0.100
K4 0.777 0.750 0.603
H1 0.390 0.750 0.720
H2 0.610 0.250 0.280
O1 0.240 0.750 0.646
O2 0.760 0.250 0.354
F1 0.264 0.750 0.137
F2 0.736 0.250 0.863

=====

Entry 20:
## CsYIN2 (PBE)

Data for a relaxed CsYIN2 crystal.

Values from the calculation:
* E_tot: -4.966 eV per atom
* N(E_F): 3.1 states/eV per cell
* SG: P4/mmm (123)
* V: 29.8 Å³/atom
* raw formation energy: 137.7 meV per atom
* excess energy over the best structure of this formula in the dataset: 0.0 meV per atom
* M_tot: 0.6000 μB/atom

a b c (Å): 4.900 4.900 6.201
angles (deg): 90.00 90.00 90.00
Fractional positions:
Cs1 0.000 0.000 0.000
Y1 0.500 0.500 0.500
I1 0.500 0.500 0.000
N1 0.000 0.500 0.500
N2 0.500 0.000 0.500